{
  "formula": "Pm12ZnGe7",
  "functional": "PBE-GGA",
  "state": "optimized geometry",
  "cell": [[-7.924, -2.775, 3.466], [6.223, 0.416, 6.604], [-1.028, 8.221, -3.725]],
  "species": ["Pm", "Pm", "Pm", "Ge", "Pm", "Pm", "Pm", "Ge", "Ge", "Zn", "Ge", "Ge", "Pm", "Pm", "Pm", "Ge", "Pm", "Ge", "Pm", "Pm"],
  "frac_coords": [[0.720, 0.862, 0.337], [0.095, 0.315, 0.397], [0.337, 0.720, 0.862], [0.727, 0.973, 0.065], [0.862, 0.337, 0.720], [0.315, 0.397, 0.095], [0.397, 0.095, 0.315], [0.935, 0.273, 0.027], [0.027, 0.935, 0.273], [0.000, 0.000, 0.000], [0.500, 0.500, 0.500], [0.273, 0.027, 0.935], [0.685, 0.603, 0.905], [0.138, 0.663, 0.280], [0.280, 0.138, 0.663], [0.973, 0.065, 0.727], [0.905, 0.685, 0.603], [0.065, 0.727, 0.973], [0.603, 0.905, 0.685], [0.663, 0.280, 0.138]],
  "energy_ev_per_atom": -4.977,
  "formation_enthalpy_0k_ev_per_atom": -0.45,
  "crystal_system": "trigonal"
}